# Pm2AlIr2 PBE-GGA optimized geometry
data_Pm2AlIr2
_chemical_formula_sum 'Pm4 Al2 Ir4'
_cell_length_a 4.1313
_cell_length_b 5.8792
_cell_length_c 8.8543
_cell_angle_alpha 90.00
_cell_angle_beta 90.00
_cell_angle_gamma 90.00
_space_group_name_H-M_alt 'I m m m'
_space_group_IT_number 71
_space_group_name_Hall '-I 2 2'
loop_
_atom_site_label
_atom_site_type_symbol
_atom_site_fract_x
_atom_site_fract_y
_atom_site_fract_z
Pm1 Pm 0.0000 0.0000 0.1977
Al1 Al 0.0000 0.5000 0.0000
Ir1 Ir 0.0000 0.2576 0.5000
# Formation enthalpy at 0 K in eV/atom: -0.822
# Final energy in eV per cell: -70.15
# Magnetization in μB/f.u.: 0.0

***

# KThTl2Br8 PBE-GGA optimized geometry
data_KThTl2Br8
_chemical_formula_sum 'K1 Th1 Tl2 Br8'
_cell_length_a 7.0560
_cell_length_b 9.6329
_cell_length_c 7.4039
_cell_angle_alpha 90.00
_cell_angle_beta 90.99
_cell_angle_gamma 90.00
_space_group_name_H-M_alt 'P 1 2/m 1'
_space_group_IT_number 10
_space_group_name_Hall '-P 2y'
loop_
_atom_site_label
_atom_site_type_symbol
_atom_site_fract_x
_atom_site_fract_y
_atom_site_fract_z
K1 K 0.0000 0.0000 0.0000
Th1 Th 0.0000 0.5000 0.0000
Tl1 Tl 0.5000 0.2417 0.5000
Br1 Br 0.2320 0.2855 0.8558
Br2 Br 0.2327 0.5000 0.3205
Br3 Br 0.2785 0.0000 0.3547
# Formation energy (no corrections) in eV/atom: -1.271
# Final energy in eV per cell: -41.88
# Magnetization in μB/f.u.: 0.0

***

# In2P2Pb PBE-GGA optimized geometry
data_In2P2Pb
_chemical_formula_sum 'In4 P4 Pb2'
_cell_length_a 7.9074
_cell_length_b 7.9074
_cell_length_c 3.6688
_cell_angle_alpha 90.00
_cell_angle_beta 90.00
_cell_angle_gamma 90.00
_space_group_name_H-M_alt 'P 4/m b m'
_space_group_IT_number 127
_space_group_name_Hall '-P 4 2ab'
loop_
_atom_site_label
_atom_site_type_symbol
_atom_site_fract_x
_atom_site_fract_y
_atom_site_fract_z
In1 In 0.1444 0.3556 0.0000
P1 P 0.1573 0.6573 0.5000
Pb1 Pb 0.0000 0.0000 0.5000
# Formation enthalpy at 0 K in eV/atom: 0.172
# Final energy in eV per cell: -38.29
# Magnetization in μB/f.u.: 0.0

***

# La2Pm2Sm2Y PBE-GGA optimized geometry
data_La2Pm2Sm2Y
_chemical_formula_sum 'La4 Pm4 Sm4 Y2'
_cell_length_a 11.5817
_cell_length_b 5.1882
_cell_length_c 8.1877
_cell_angle_alpha 90.00
_cell_angle_beta 98.18
_cell_angle_gamma 90.00
_space_group_name_H-M_alt 'C 1 2/m 1'
_space_group_IT_number 12
_space_group_name_Hall '-C 2y'
loop_
_atom_site_label
_atom_site_type_symbol
_atom_site_fract_x
_atom_site_fract_y
_atom_site_fract_z
La1 La 0.1429 0.0000 0.4269
Pm1 Pm 0.2152 0.5000 0.1398
Sm1 Sm 0.0706 0.5000 0.7168
Y1 Y 0.0000 0.0000 0.0000
# Formation enthalpy at 0 K in eV/atom: 0.021
# Final energy in eV per cell: -70.23
# Magnetization in μB/f.u.: 0.0

***

- final energy of number 3 (In2P2Pb)?
  -38.29 eV per cell

***

- What is the formula in the second record?
  KThTl2Br8

***

- What is the formula in the second record?
  KThTl2Br8

***

- Which formula does entry 2 have?
  KThTl2Br8